[1]
A plane-wave DFT calculation with PBE was carried out for a relaxed PuTiMoRu crystal.

abc: 4.5820 4.5820 4.5820
angles: 60.00 60.00 60.00
With the nearest neighbours (Å) after each atom.
Fractional coordinates of all 4 atoms:
Ru 0.7500 0.7500 0.7500  4 Pu 2.81, 4 Ti 2.81
Mo 0.2500 0.2500 0.2500  4 Pu 2.81, 4 Ti 2.81
Ti 0.0000 0.0000 0.0000  4 Ru 2.81, 4 Mo 2.81
Pu 0.5000 0.5000 0.5000  4 Ru 2.81, 4 Mo 2.81

Properties
VASP energy: -10.73 eV per atom
symmetry: F-43m (216)
energy relative to the elements: -0.142 eV/atom

[2]
A plane-wave DFT calculation with PBE was carried out for a relaxed YMg2Fe crystal.

abc: 6.1266 5.2119 3.0999
angles: 84.26 77.85 113.58
With the nearest neighbours (Å) after each atom.
Fractional coordinates of all 4 atoms:
Fe 0.5000 0.0000 0.5000  4 Y 2.90-3.16, 2 Fe 3.10, 4 Mg 3.13
Mg 0.0000 0.0000 0.0000  6 Mg 2.90-3.16, 2 Y 3.13, 2 Fe 3.13
Mg 0.0000 0.5000 0.5000  6 Mg 2.90-3.16, 2 Fe 3.13, 2 Y 3.13
Y 0.5000 0.5000 0.0000  4 Fe 2.90-3.16, 2 Y 3.10, 4 Mg 3.13

Properties
VASP energy: -4.21 eV per atom
symmetry: C2/m (12)
energy relative to the elements: 0.316 eV/atom

[3]
A plane-wave DFT calculation with PBE was carried out for a relaxed KCSeN crystal.

abc: 7.8531 4.5847 12.2670
angles: 81.48 90.00 90.00
With the nearest neighbours (Å) after each atom.
Fractional coordinates of all 16 atoms:
K 0.3180 0.6650 0.0957  3 N 2.85-3.00
K 0.6820 0.3350 0.9043  3 N 2.85-3.00
K 0.1820 0.6650 0.5957  3 N 2.85-3.00
K 0.8180 0.3350 0.4043  3 N 2.85-3.00
C 0.2142 0.1853 0.8860  1 N 1.19
C 0.2858 0.1853 0.3860  1 N 1.19
C 0.7858 0.8147 0.1140  1 N 1.19
C 0.7142 0.8147 0.6140  1 N 1.19
Se 0.5481 0.9102 0.7036  1 C 1.80
Se 0.0481 0.0898 0.7964  1 C 1.80
Se 0.9519 0.9102 0.2036  1 C 1.80
Se 0.4519 0.0898 0.2964  1 C 1.80
N 0.3233 0.2444 0.9461  1 C 1.19
N 0.1767 0.2444 0.4461  1 C 1.19
N 0.8233 0.7556 0.5539  1 C 1.19
N 0.6767 0.7556 0.0539  1 C 1.19

Properties
VASP energy: -5.86 eV per atom
E_form (uncorrected): -0.330 eV/atom
symmetry: P2_1/c (14)

[4]
A plane-wave DFT calculation with PBE was carried out for a relaxed Tl2CdSnPb5 crystal.

abc: 8.9528 8.0115 8.0115
angles: 90.00 90.00 90.00
With the nearest neighbours (Å) after each atom.
Fractional coordinates of all 18 atoms:
Tl 0.5000 0.6291 0.1291  1 Tl 2.93, 4 Pb 3.15-3.18
Tl 0.5000 0.1291 0.3709  1 Tl 2.93, 4 Pb 3.15-3.18
Tl 0.5000 0.8709 0.6291  1 Tl 2.93, 4 Pb 3.15-3.18
Tl 0.5000 0.3709 0.8709  1 Tl 2.93, 4 Pb 3.15-3.18
Cd 0.0000 0.0000 0.5000  4 Pb 3.11
Cd 0.0000 0.5000 0.0000  4 Pb 3.11
Sn 0.0000 0.5000 0.5000  8 Pb 3.33
Sn 0.0000 0.0000 0.0000  8 Pb 3.33
Pb 0.5000 0.5000 0.5000  4 Tl 3.15
Pb 0.5000 0.0000 0.0000  4 Tl 3.15
Pb 0.1944 0.2277 0.7277  1 Cd 3.11, 1 Tl 3.18, 2 Sn 3.33, 1 Pb 3.48
Pb 0.1944 0.7723 0.2723  1 Cd 3.11, 1 Tl 3.18, 2 Sn 3.33, 1 Pb 3.48
Pb 0.1944 0.2723 0.2277  1 Cd 3.11, 1 Tl 3.18, 2 Sn 3.33, 1 Pb 3.48
Pb 0.1944 0.7277 0.7723  1 Cd 3.11, 1 Tl 3.18, 2 Sn 3.33, 1 Pb 3.48
Pb 0.8056 0.2277 0.7277  1 Cd 3.11, 1 Tl 3.18, 2 Sn 3.33, 1 Pb 3.48
Pb 0.8056 0.7277 0.7723  1 Cd 3.11, 1 Tl 3.18, 2 Sn 3.33, 1 Pb 3.48
Pb 0.8056 0.7723 0.2723  1 Cd 3.11, 1 Tl 3.18, 2 Sn 3.33, 1 Pb 3.48
Pb 0.8056 0.2723 0.2277  1 Cd 3.11, 1 Tl 3.18, 2 Sn 3.33, 1 Pb 3.48

Properties
VASP energy: -2.99 eV per atom
symmetry: P4/mbm (127)
energy relative to the elements: 0.146 eV/atom

[5]
A plane-wave DFT calculation with PBE was carried out for a relaxed La2RhI crystal.

abc: 4.2189 4.2189 8.7058
angles: 75.98 75.98 60.00
With the nearest neighbours (Å) after each atom.
Fractional coordinates of all 4 atoms:
La 0.0620 0.0620 0.8141  3 Rh 2.88
La 0.2716 0.2716 0.1852  3 Rh 2.90
Rh 0.6674 0.6674 0.9979  6 La 2.88-2.90
I 0.4991 0.4991 0.5028  6 La 3.56-3.60

Properties
VASP energy: -5.73 eV per atom
ΔE to the lowest computed polymorph: 12 meV per atom
E_form (uncorrected): -1.043 eV/atom
symmetry: R3m (160)

[6]
A plane-wave DFT calculation with PBE was carried out for a relaxed RbAlSe2 crystal.

abc: 4.3323 4.3323 6.0932
angles: 90.00 90.00 90.00
With the nearest neighbours (Å) after each atom.
Fractional coordinates of all 4 atoms:
Se 0.5000 0.5000 0.5000  2 Rb 3.05, 4 Al 3.06
Se 0.0000 0.0000 0.0000  2 Al 3.05, 4 Rb 3.06
Rb 0.5000 0.5000 0.0000  6 Se 3.05-3.06
Al 0.0000 0.0000 0.5000  6 Se 3.05-3.06

Properties
VASP energy: -3.08 eV per atom
E_form (uncorrected): -0.158 eV/atom
symmetry: P4/mmm (123)

[7]
A plane-wave DFT calculation with PBE was carried out for a relaxed HfSiSb2Au crystal.

abc: 5.4510 5.0584 5.4510
angles: 90.00 90.00 90.00
With the nearest neighbours (Å) after each atom.
Fractional coordinates of all 5 atoms:
Hf 0.0000 0.0000 0.0000  2 Si 2.53, 4 Sb 2.73
Si 0.0000 0.5000 0.0000  2 Hf 2.53
Au 0.5000 0.5000 0.5000  8 Sb 3.72, 4 Si 3.85
Sb 0.0000 0.0000 0.5000  2 Hf 2.73
Sb 0.5000 0.0000 0.0000  2 Hf 2.73

Properties
VASP energy: -4.77 eV per atom
E_form (uncorrected): 0.611 eV/atom
symmetry: P4/mmm (123)

[8]
A plane-wave DFT calculation with PBE was carried out for a relaxed In2NiW crystal.

abc: 4.6505 4.6505 4.6505
angles: 60.00 60.00 60.00
With the nearest neighbours (Å) after each atom.
Fractional coordinates of all 4 atoms:
In 0.0000 0.0000 0.0000  4 In 2.85, 4 W 2.85
In 0.7500 0.7500 0.7500  4 In 2.85, 4 Ni 2.85
Ni 0.5000 0.5000 0.5000  4 In 2.85, 4 W 2.85
W 0.2500 0.2500 0.2500  4 In 2.85, 4 Ni 2.85

Properties
VASP energy: -5.32 eV per atom
ΔE to the lowest computed polymorph: 448 meV per atom
symmetry: F-43m (216)
energy relative to the elements: 0.734 eV/atom

[9]
A plane-wave DFT calculation with PBE was carried out for a relaxed Pr3Ho7Er2 crystal.

abc: 5.6441 6.0734 12.2445
angles: 94.83 90.00 90.00
With the nearest neighbours (Å) after each atom.
Fractional coordinates of all 12 atoms:
Pr 0.5000 0.5000 0.0000  6 Ho 3.30-3.58, 2 Er 3.56
Pr 0.0000 0.9701 0.3248  2 Er 3.47, 6 Ho 3.48-3.58
Pr 0.0000 0.0299 0.6752  2 Er 3.47, 6 Ho 3.48-3.58
Ho 0.5000 0.2302 0.4415  2 Er 3.23-3.33, 3 Ho 3.25-3.46, 2 Pr 3.48
Ho 0.5000 0.7698 0.5585  2 Er 3.23-3.33, 3 Ho 3.25-3.46, 2 Pr 3.48
Ho 0.0000 0.4526 0.1760  2 Er 3.30, 3 Ho 3.35-3.56, 4 Pr 3.50-3.58
Ho 0.0000 0.0000 0.0000  6 Ho 3.35-3.47
Ho 0.0000 0.5474 0.8240  2 Er 3.30, 3 Ho 3.35-3.56, 4 Pr 3.50-3.58
Ho 0.5000 0.9068 0.8380  2 Er 3.28-3.54, 3 Pr 3.30-3.57, 5 Ho 3.45-3.56
Ho 0.5000 0.0932 0.1620  2 Er 3.28-3.54, 3 Pr 3.30-3.57, 5 Ho 3.45-3.56
Er 0.5000 0.6391 0.2886  6 Ho 3.23-3.54, 3 Pr 3.47-3.56
Er 0.5000 0.3609 0.7114  6 Ho 3.23-3.54, 3 Pr 3.47-3.56

Properties
VASP energy: -4.33 eV per atom
ΔE to the lowest computed polymorph: 209 meV per atom
symmetry: P2/m (10)
energy relative to the elements: 0.297 eV/atom

[10]
A plane-wave DFT calculation with PBE was carried out for a relaxed MgZn2Cl crystal.

abc: 8.1197 8.1197 8.1197
angles: 24.34 24.34 24.34
With the nearest neighbours (Å) after each atom.
Fractional coordinates of all 4 atoms:
Cl 0.2500 0.2500 0.2500  6 Zn 2.78
Mg 0.7500 0.7500 0.7500  6 Zn 2.80
Zn 0.9994 0.9994 0.9994  3 Cl 2.78, 3 Mg 2.80
Zn 0.5006 0.5006 0.5006  3 Cl 2.78, 3 Mg 2.80

Properties
VASP energy: -1.68 eV per atom
ΔE to the lowest computed polymorph: 212 meV per atom
E_form (uncorrected): -0.183 eV/atom
symmetry: R-3m (166)

[11]
A plane-wave DFT calculation with PBE was carried out for a relaxed ScNi2Hg crystal.

abc: 4.4773 4.4773 4.4773
angles: 60.00 60.00 60.00
With the nearest neighbours (Å) after each atom.
Fractional coordinates of all 4 atoms:
Hg 0.5000 0.5000 0.5000  4 Sc 2.74, 4 Ni 2.74
Ni 0.0000 0.0000 0.0000  4 Ni 2.74, 4 Sc 2.74
Ni 0.2500 0.2500 0.2500  4 Hg 2.74, 4 Ni 2.74
Sc 0.7500 0.7500 0.7500  4 Hg 2.74, 4 Ni 2.74

Properties
VASP energy: -4.66 eV per atom
symmetry: F-43m (216)
energy relative to the elements: -0.111 eV/atom

[12]
A plane-wave DFT calculation with PBE was carried out for a relaxed BaZn3Au3 crystal.

abc: 4.7531 9.4115 9.4260
angles: 120.04 90.00 90.00
With the nearest neighbours (Å) after each atom.
Fractional coordinates of all 14 atoms:
Ba 0.7500 0.3339 0.6673  9 Au 3.37-3.47, 9 Zn 3.56-3.75
Ba 0.2500 0.6661 0.3327  9 Au 3.37-3.47, 9 Zn 3.56-3.75
Zn 0.7500 0.7085 0.0495  4 Au 2.59-2.87
Zn 0.7500 0.3393 0.2915  4 Au 2.59-2.87
Zn 0.7500 0.9514 0.6600  4 Au 2.59-2.87
Zn 0.2500 0.2915 0.9505  4 Au 2.59-2.87
Zn 0.2500 0.6607 0.7085  4 Au 2.59-2.87
Zn 0.2500 0.0486 0.3400  4 Au 2.59-2.87
Au 0.7500 0.9436 0.3521  4 Zn 2.59-2.87
Au 0.7500 0.4069 0.0568  4 Zn 2.59-2.87
Au 0.7500 0.6483 0.5914  4 Zn 2.59-2.87
Au 0.2500 0.0564 0.6479  4 Zn 2.59-2.87
Au 0.2500 0.5931 0.9432  4 Zn 2.59-2.87
Au 0.2500 0.3517 0.4086  4 Zn 2.59-2.87

Properties
VASP energy: -2.50 eV per atom
ΔE to the lowest computed polymorph: 16 meV per atom
symmetry: P2_1/m (11)
energy relative to the elements: -0.274 eV/atom

no.,DOS at the Fermi energy (states/eV/atom)
1,1.2651
2,1.0431
3,0.0000
4,0.5515
5,0.3364
6,0.9245
7,0.6422
8,0.3901
9,1.5667
10,0.2896
11,0.7094
12,0.2528